P) Compound: Rb2TbBr5
Source: the Alexandria database
Functional: PBE-GGA
Structure: optimized geometry

## Properties
Total magnetic moment (μB per cell): 0.000
Crystal system: monoclinic

a = 8.435 Å, b = 8.435 Å, c = 7.729 Å
α = 123.13°, β = 123.07°, γ = 90.00°
Atoms (fractional coordinates):
Rb 0.248 0.748 0.497
Rb 0.748 0.248 0.497
Br 0.796 0.254 0.050
Br 0.254 0.254 0.050
Br 0.253 0.795 0.048
Br 0.795 0.795 0.048
Br 0.708 0.708 0.415
Tb 0.974 0.974 0.949

***

Q) Compound: Rb2TbBr5
Source: the Alexandria database
Functional: PBE-GGA
Structure: optimized geometry

## Properties
Total magnetic moment (μB per cell): 0.000
Crystal system: orthorhombic

a = 8.811 Å, b = 9.274 Å, c = 13.952 Å
α = 90.00°, β = 90.00°, γ = 90.00°
Atoms (fractional coordinates):
Tb 0.928 0.750 0.995
Tb 0.572 0.750 0.495
Tb 0.072 0.250 0.005
Tb 0.428 0.250 0.505
Br 0.641 0.750 0.694
Br 0.901 0.750 0.486
Br 0.835 0.454 0.938
Br 0.835 0.046 0.938
Br 0.335 0.954 0.562
Br 0.404 0.750 0.320
Br 0.141 0.250 0.806
Br 0.099 0.250 0.514
Br 0.165 0.546 0.062
Br 0.859 0.750 0.194
Br 0.665 0.454 0.438
Br 0.596 0.250 0.680
Br 0.335 0.546 0.562
Br 0.665 0.046 0.438
Br 0.401 0.250 0.014
Br 0.096 0.750 0.820
Br 0.904 0.250 0.180
Br 0.359 0.250 0.306
Br 0.165 0.954 0.062
Br 0.599 0.750 0.986
Rb 0.575 0.492 0.170
Rb 0.425 0.508 0.830
Rb 0.075 0.992 0.330
Rb 0.925 0.492 0.670
Rb 0.075 0.508 0.330
Rb 0.425 0.992 0.830
Rb 0.575 0.008 0.170
Rb 0.925 0.008 0.670

***

Tell me which of them is the most stable. Sure, it is Q).

***

P) Compound: RbTcBr2
Source: the Alexandria database
Functional: PBE-GGA
Structure: optimized geometry

## Properties
Total magnetic moment (μB per cell): 3.936
Crystal system: tetragonal

a = 6.370 Å, b = 6.370 Å, c = 8.534 Å
α = 68.09°, β = 68.09°, γ = 90.00°
Last column: magnetic moment on the atom in μB.
Atoms (fractional coordinates):
Br 0.875 0.995 0.750  0.04
Br 0.005 0.625 0.250  0.03
Br 0.745 0.125 0.250  0.04
Br 0.375 0.255 0.750  0.04
Rb 0.250 0.750 0.500  0.00
Rb 0.500 0.500 0.000  0.00
Tc 0.750 0.250 0.500  1.57
Tc 0.000 0.000 0.000  1.58

***

Q) Compound: RbTcBr2
Source: the Alexandria database
Functional: PBE-GGA
Structure: optimized geometry

## Properties
Total magnetic moment (μB per cell): 4.000
Crystal system: trigonal

a = 9.184 Å, b = 9.184 Å, c = 9.184 Å
α = 31.09°, β = 31.09°, γ = 31.09°
Last column: magnetic moment on the atom in μB.
Atoms (fractional coordinates):
Tc 0.000 0.000 0.000  3.36
Br 0.095 0.095 0.095  0.04
Br 0.905 0.905 0.905  0.04
Rb 0.500 0.500 0.500  0.00

***

R) Compound: RbTcBr2
Source: the Alexandria database
Functional: PBE-GGA
Structure: optimized geometry

## Properties
Total magnetic moment (μB per cell): 4.078
Crystal system: cubic

a = 5.437 Å, b = 5.437 Å, c = 5.437 Å
α = 60.00°, β = 60.00°, γ = 60.00°
Last column: magnetic moment on the atom in μB.
Atoms (fractional coordinates):
Br 0.250 0.250 0.250  0.05
Br 0.750 0.750 0.750  0.05
Rb 0.000 0.000 0.000  0.01
Tc 0.500 0.500 0.500  3.40

***

Tell me which of them is the most stable. Sure, it is Q).

***

P) Compound: RbTc2Br
Source: the Alexandria database
Functional: PBE-GGA
Structure: optimized geometry

## Properties
Total magnetic moment (μB per cell): 2.419
Crystal system: cubic

a = 4.791 Å, b = 4.791 Å, c = 4.791 Å
α = 60.00°, β = 60.00°, γ = 60.00°
Last column: magnetic moment on the atom in μB.
Atoms (fractional coordinates):
Tc 0.750 0.750 0.750  1.09
Tc 0.250 0.250 0.250  1.09
Rb 0.500 0.500 0.500  0.05
Br 0.000 0.000 0.000  -0.01

***

Q) Compound: RbTc2Br
Source: the Alexandria database
Functional: PBE-GGA
Structure: optimized geometry

## Properties
Total magnetic moment (μB per cell): 0.748
Crystal system: tetragonal

a = 4.842 Å, b = 4.842 Å, c = 9.764 Å
α = 75.64°, β = 75.64°, γ = 90.00°
Last column: magnetic moment on the atom in μB.
Atoms (fractional coordinates):
Rb 0.750 0.250 0.500  0.00
Rb 0.000 0.000 0.000  0.00
Tc 0.875 0.625 0.750  0.14
Tc 0.375 0.125 0.250  0.18
Tc 0.375 0.625 0.250  0.18
Tc 0.375 0.625 0.750  0.14
Br 0.500 0.500 0.000  0.00
Br 0.250 0.750 0.500  0.00

***

Tell me which of them is the most stable. Sure, it is Q).

***

P) Compound: RbTc3Br
Source: the Alexandria database
Functional: PBE-GGA
Structure: optimized geometry

## Properties
Total magnetic moment (μB per cell): 3.138
Crystal system: cubic

a = 4.774 Å, b = 4.774 Å, c = 4.774 Å
α = 90.00°, β = 90.00°, γ = 90.00°
Last column: magnetic moment on the atom in μB.
Atoms (fractional coordinates):
Rb 0.500 0.500 0.500  0.02
Tc 0.000 0.500 0.000  0.93
Tc 0.500 0.000 0.000  0.88
Tc 0.000 0.000 0.500  0.98
Br 0.000 0.000 0.000  -0.02

***

Q) Compound: RbTc3Br
Source: the Alexandria database
Functional: PBE-GGA
Structure: optimized geometry

## Properties
Total magnetic moment (μB per cell): 10.827
Crystal system: cubic

a = 5.299 Å, b = 5.299 Å, c = 5.299 Å
α = 90.00°, β = 90.00°, γ = 90.00°
Last column: magnetic moment on the atom in μB.
Atoms (fractional coordinates):
Rb 0.000 0.000 0.000  0.05
Br 0.500 0.500 0.500  0.21
Tc 0.500 0.000 0.000  3.33
Tc 0.000 0.000 0.500  2.74
Tc 0.000 0.500 0.000  3.07

***

Tell me which of them is the most stable. Sure, it is P).

***

P) Compound: Rb2Tc2Br
Source: the Alexandria database
Functional: PBE-GGA
Structure: optimized geometry

## Properties
Total magnetic moment (μB per cell): 3.438
Crystal system: tetragonal

a = 10.473 Å, b = 10.473 Å, c = 3.155 Å
α = 90.00°, β = 90.00°, γ = 90.00°
Last column: magnetic moment on the atom in μB.
Atoms (fractional coordinates):
Tc 0.930 0.430 0.500  0.60
Tc 0.070 0.570 0.500  0.60
Tc 0.430 0.070 0.500  0.60
Tc 0.570 0.930 0.500  0.60
Br 0.000 0.000 0.000  0.01
Br 0.500 0.500 0.000  0.01
Rb 0.792 0.708 0.000  0.01
Rb 0.208 0.292 0.000  0.01
Rb 0.292 0.792 0.000  0.01
Rb 0.708 0.208 0.000  0.01

***

Q) Compound: Rb2Tc2Br
Source: the Alexandria database
Functional: PBE-GGA
Structure: optimized geometry

## Properties
Total magnetic moment (μB per cell): 0.000
Crystal system: tetragonal

a = 3.550 Å, b = 3.550 Å, c = 11.438 Å
α = 81.07°, β = 81.07°, γ = 90.00°
Atoms (fractional coordinates):
Tc 0.750 0.250 0.500
Tc 0.250 0.750 0.500
Br 0.000 0.000 0.000
Rb 0.398 0.398 0.203
Rb 0.602 0.602 0.797

***

Tell me which of them is the most stable. Sure, it is Q).

***

P) Compound: RbTe2Br8
Source: the Alexandria database
Functional: PBE-GGA
Structure: optimized geometry

## Properties
Total magnetic moment (μB per cell): 0.000
Crystal system: monoclinic

a = 9.713 Å, b = 7.733 Å, c = 7.733 Å
α = 63.36°, β = 64.36°, γ = 64.36°
Atoms (fractional coordinates):
Br 0.871 0.620 0.620
Br 0.587 0.213 0.213
Br 0.760 0.154 0.644
Br 0.129 0.380 0.380
Br 0.413 0.787 0.787
Br 0.240 0.356 0.846
Br 0.240 0.846 0.356
Br 0.760 0.644 0.154
Te 0.367 0.145 0.145
Te 0.633 0.855 0.855
Rb 0.000 0.000 0.000

***

Q) Compound: RbTe2Br8
Source: the Alexandria database
Functional: PBE-GGA
Structure: optimized geometry

## Properties
Total magnetic moment (μB per cell): 0.000
Crystal system: trigonal

a = 5.773 Å, b = 10.061 Å, c = 10.064 Å
α = 120.00°, β = 90.01°, γ = 90.01°
Atoms (fractional coordinates):
Br 0.283 0.180 0.364
Br 0.717 0.363 0.184
Br 0.777 0.333 0.667
Br 0.283 0.183 0.820
Br 0.717 0.820 0.636
Br 0.283 0.637 0.816
Br 0.223 0.667 0.333
Br 0.717 0.817 0.180
Te 0.273 0.333 0.667
Te 0.727 0.667 0.333
Rb 0.000 0.000 0.000

***

Tell me which of them is the most stable. Sure, it is P).

***

P) Compound: RbTe3Br
Source: the Alexandria database
Functional: PBE-GGA
Structure: optimized geometry

## Properties
Total magnetic moment (μB per cell): 0.000
Crystal system: cubic

a = 5.778 Å, b = 5.778 Å, c = 5.778 Å
α = 90.00°, β = 90.00°, γ = 90.00°
Atoms (fractional coordinates):
Te 0.000 0.000 0.500
Te 0.500 0.000 0.000
Te 0.000 0.500 0.000
Br 0.000 0.000 0.000
Rb 0.500 0.500 0.500

***

Q) Compound: RbTe3Br
Source: the Alexandria database
Functional: PBE-GGA
Structure: optimized geometry

## Properties
Total magnetic moment (μB per cell): 6.000
Crystal system: cubic

a = 6.995 Å, b = 6.995 Å, c = 6.995 Å
α = 90.00°, β = 90.00°, γ = 90.00°
Last column: magnetic moment on the atom in μB.
Atoms (fractional coordinates):
Te 0.500 0.000 0.000  0.86
Te 0.000 0.000 0.500  0.98
Te 0.000 0.500 0.000  0.88
Rb 0.000 0.000 0.000  0.00
Br 0.500 0.500 0.500  0.39

***

Tell me which of them is the most stable. Sure, it is P).

***

P) Compound: Rb2Te2Br
Source: the Alexandria database
Functional: PBE-GGA
Structure: optimized geometry

## Properties
Total magnetic moment (μB per cell): 2.000
Crystal system: tetragonal

a = 9.246 Å, b = 9.246 Å, c = 5.729 Å
α = 90.00°, β = 90.00°, γ = 90.00°
Last column: magnetic moment on the atom in μB.
Atoms (fractional coordinates):
Rb 0.314 0.814 0.000  0.00
Rb 0.814 0.686 0.000  0.00
Rb 0.686 0.186 0.000  0.00
Rb 0.186 0.314 0.000  0.00
Te 0.103 0.603 0.500  0.24
Te 0.897 0.397 0.500  0.24
Te 0.397 0.103 0.500  0.24
Te 0.603 0.897 0.500  0.24
Br 0.500 0.500 0.000  0.03
Br 0.000 0.000 0.000  0.03

***

Q) Compound: Rb2Te2Br
Source: the Alexandria database
Functional: PBE-GGA
Structure: optimized geometry

## Properties
Total magnetic moment (μB per cell): 0.000
Crystal system: tetragonal

a = 4.475 Å, b = 4.475 Å, c = 10.419 Å
α = 77.60°, β = 77.60°, γ = 90.00°
Atoms (fractional coordinates):
Br 0.000 0.000 0.000
Rb 0.401 0.401 0.197
Rb 0.599 0.599 0.803
Te 0.750 0.250 0.500
Te 0.250 0.750 0.500

***

Tell me which of them is the most stable. Sure, it is Q).